Record 1
Density functional theory data (GGA-PBE) for a relaxed structure of LiCuNi.

POSCAR file:
```
LiCuNi
1.0
2.1775 -3.7548 0.0000
2.1775 3.7548 0.0000
-1.5486 0.0000 4.1461
Li Cu Ni
2 2 2
Direct
0.0000 0.0000 0.0000
0.6674 0.3326 0.0000
0.1650 0.8350 0.5000
0.3365 0.6635 0.0000
0.4918 0.5082 0.5000
0.8299 0.1701 0.5000
```

* crystal system: monoclinic
* calculated density: 6.3 Mg/m³
* excess energy over the best structure of this formula in the dataset: 0.000 eV/atom

Record 2
Density functional theory data (GGA-PBE) for a relaxed structure of KLuNiTe3.

POSCAR file:
```
KLuNiTe3
1.0
9.9972 0.0000 0.0000
0.0000 4.3873 0.0000
0.0000 0.0000 16.6959
K Lu Ni Te
4 4 4 12
Direct
0.2260 0.2500 0.0060
0.2740 0.7500 0.5060
0.7260 0.2500 0.4940
0.7740 0.7500 0.9940
0.0387 0.2500 0.2814
0.4613 0.7500 0.7814
0.5387 0.2500 0.2186
0.9613 0.7500 0.7186
0.1617 0.2500 0.7550
0.3383 0.7500 0.2550
0.6617 0.2500 0.7450
0.8383 0.7500 0.2450
0.0610 0.2500 0.6116
0.1168 0.7500 0.1680
0.1857 0.7500 0.8429
0.3143 0.2500 0.3429
0.3832 0.2500 0.6680
0.4390 0.7500 0.1116
0.5610 0.2500 0.8884
0.6168 0.7500 0.3320
0.6857 0.7500 0.6571
0.8143 0.2500 0.1571
0.8832 0.2500 0.8320
0.9390 0.7500 0.3884
```

* crystal system: orthorhombic
* calculated density: 5.9 Mg/m³
* excess energy over the best structure of this formula in the dataset: 0.010 eV/atom

Record 3
Density functional theory data (GGA-PBE) for a relaxed structure of Lu6HgI.

POSCAR file:
```
Lu6HgI
1.0
6.7463 0.0000 0.0000
-3.3732 5.8425 0.0000
0.0000 0.0000 5.4492
Lu Hg I
6 1 1
Direct
0.1670 0.3341 0.0000
0.1670 0.8330 0.0000
0.3327 0.1664 0.5000
0.6659 0.8330 0.0000
0.8336 0.1664 0.5000
0.8336 0.6673 0.5000
0.6667 0.3333 0.0000
0.3333 0.6667 0.5000
```

* E: -29.53 eV for the cell shown
* crystal system: hexagonal
* calculated density: 10.6 Mg/m³

Record 4
Density functional theory data (GGA-PBE) for a relaxed structure of TmBeZn.

POSCAR file:
```
TmBeZn
1.0
0.0000 3.1968 3.1968
3.1968 0.0000 3.1968
3.1968 3.1968 0.0000
Tm Be Zn
1 1 1
Direct
0.0000 0.0000 0.0000
0.7500 0.7500 0.7500
0.2500 0.2500 0.2500
```

* crystal system: cubic
* calculated density: 6.2 Mg/m³
* excess energy over the best structure of this formula in the dataset: 0.568 eV/atom

Record 5
Density functional theory data (GGA-PBE) for a relaxed structure of Nd3Bi4Au3.

POSCAR file:
```
Nd3Bi4Au3
1.0
-5.1449 5.1449 5.1449
5.1449 -5.1449 5.1449
5.1449 5.1449 -5.1449
Nd Bi Au
6 8 6
Direct
0.1250 0.7500 0.8750
0.2500 0.6250 0.3750
0.3750 0.2500 0.6250
0.6250 0.3750 0.2500
0.7500 0.8750 0.1250
0.8750 0.1250 0.7500
0.0000 0.3194 0.5000
0.0000 0.8194 0.5000
0.1806 0.1806 0.1806
0.3194 0.5000 0.0000
0.5000 0.0000 0.3194
0.5000 0.0000 0.8194
0.6806 0.6806 0.6806
0.8194 0.5000 0.0000
0.1250 0.8750 0.2500
0.2500 0.1250 0.8750
0.3750 0.6250 0.7500
0.6250 0.7500 0.3750
0.7500 0.3750 0.6250
0.8750 0.2500 0.1250
```

* E: -95.40 eV for the cell shown
* crystal system: cubic
* calculated density: 11.3 Mg/m³

Record 6
Density functional theory data (GGA-PBE) for a relaxed structure of KHoCoSe3.

POSCAR file:
```
KHoCoSe3
1.0
9.1305 0.0000 0.0000
0.0000 4.0025 0.0000
-3.0710 0.0000 9.0554
K Ho Co Se
2 2 2 6
Direct
0.2073 0.2500 0.2372
0.7927 0.7500 0.7628
0.3270 0.7500 0.8590
0.6730 0.2500 0.1410
0.0741 0.2500 0.5913
0.9259 0.7500 0.4087
0.1043 0.2500 0.8512
0.1895 0.7500 0.5347
0.4627 0.7500 0.1682
0.5373 0.2500 0.8318
0.8105 0.2500 0.4653
0.8957 0.7500 0.1488
```

* crystal system: monoclinic
* calculated density: 5.0 Mg/m³
* excess energy over the best structure of this formula in the dataset: 0.000 eV/atom

Record 7
Density functional theory data (GGA-PBE) for a relaxed structure of NdBAu.

POSCAR file:
```
NdBAu
1.0
0.0000 3.1015 3.1015
3.1015 0.0000 3.1015
3.1015 3.1015 0.0000
Nd B Au
1 1 1
Direct
0.0000 0.0000 0.0000
0.7500 0.7500 0.7500
0.5000 0.5000 0.5000
```

* E: -14.72 eV for the cell shown
* crystal system: cubic
* calculated density: 9.8 Mg/m³

Record 8
Density functional theory data (GGA-PBE) for a relaxed structure of Ho3Tl5.

POSCAR file:
```
Ho3Tl5
1.0
5.0048 -4.0327 0.0000
5.0048 4.0327 0.0000
0.0000 0.0000 10.4338
Ho Tl
6 10
Direct
0.1082 0.8918 0.7500
0.2932 0.2932 0.0000
0.2932 0.2932 0.5000
0.7068 0.7068 0.0000
0.7068 0.7068 0.5000
0.8918 0.1082 0.2500
0.0127 0.4343 0.7500
0.1979 0.8021 0.0362
0.1979 0.8021 0.4638
0.4343 0.0127 0.2500
0.4980 0.5020 0.2500
0.5020 0.4980 0.7500
0.5657 0.9873 0.7500
0.8021 0.1979 0.5362
0.8021 0.1979 0.9638
0.9873 0.5657 0.2500
```

* E: -55.40 eV for the cell shown
* crystal system: orthorhombic
* calculated density: 12.0 Mg/m³